Material: InSb2CSe
Method: DFT, GGA-PBE
State: optimized geometry

Lattice parameters (Å, degrees): 5.7386 5.7386 4.0562 90.00 90.00 90.00
With the nearest neighbours (Å) after each atom.
Space group P4/mmm (No. 123)
Inequivalent atoms, fractional coordinates:
In (0.0000, 0.0000, 0.0000)  2 C 2.03
Sb (0.0000, 0.5000, 0.0000)  2 In 2.87
C (0.0000, 0.0000, 0.5000)  2 In 2.03
Se (0.5000, 0.5000, 0.5000)  8 Sb 3.51

- uncorrected formation energy (eV per atom) = 1.4115
- DOS(E_F) (states/eV/cell) = 4.4
- DFT total energy (eV per formula unit) = -16.634
- size of the total moment (μB per formula unit) = 0.0


Material: TbPmMgPb
Method: DFT, GGA-PBE
State: optimized geometry

Lattice parameters (Å, degrees): 7.6694 7.6694 7.6694 90.00 90.00 90.00
With the nearest neighbours (Å) after each atom.
Space group F-43m (No. 216)
Inequivalent atoms, fractional coordinates:
Tb (0.0000, 0.0000, 0.0000)  4 Pb 3.32, 4 Mg 3.32
Pm (0.0000, 0.0000, 0.5000)  4 Pb 3.32, 4 Mg 3.32
Mg (0.2500, 0.2500, 0.7500)  4 Tb 3.32, 4 Pm 3.32
Pb (0.2500, 0.2500, 0.2500)  4 Tb 3.32, 4 Pm 3.32

- DOS(E_F) (states/eV/cell) = 15.5
- DFT total energy (eV per formula unit) = -15.908
- size of the total moment (μB per formula unit) = 0.0


Material: ZnCd3Pb
Method: DFT, GGA-PBE
State: optimized geometry

Lattice parameters (Å, degrees): 7.4339 3.4964 9.3605 90.00 105.45 90.00
With the nearest neighbours (Å) after each atom.
Space group P2_1 (No. 4)
Inequivalent atoms, fractional coordinates:
Zn (0.0106, 0.0000, 0.2549)  7 Cd 2.84-3.12, 2 Pb 3.08-3.09
Cd (0.1756, 0.5013, 0.5161)  3 Zn 2.84-2.99, 5 Cd 2.98-3.15
Cd (0.1791, 0.5011, 0.0853)  3 Zn 2.86-3.12, 2 Cd 3.17
Cd (0.4126, 0.0013, 0.3529)  1 Zn 2.88, 5 Cd 2.98-3.17
Pb (0.3423, 0.0006, 0.8484)  2 Zn 3.08-3.09, 5 Cd 3.30-3.45

- DOS(E_F) (states/eV/cell) = 2.4
- DFT total energy (eV per formula unit) = -7.437
- size of the total moment (μB per formula unit) = 0.0
- polymorph energy (0 for the lowest one) (eV/atom) = 0.000